## one
KMnRu2 PBEsol optimized geometry; size of the total moment = 1.000 μB per atom; V = 16.22 Å³/atom
1.0
2.542 0.000 0.000
0.000 5.052 0.000
0.000 0.000 5.052
K Mn Ru
1 1 2
Direct
0.500 0.500 0.500
0.500 0.000 0.000
0.000 0.000 0.500
0.000 0.500 0.000

***

## two
KMnRu2 PBEsol optimized geometry; size of the total moment = 0.562 μB per atom; V = 19.44 Å³/atom
1.0
2.744 0.000 0.000
-1.372 4.348 0.036
0.000 -1.000 6.511
K Mn Ru
1 1 2
Direct
0.000 0.000 0.500
0.500 0.000 0.000
0.784 0.567 0.856
0.216 0.433 0.144

***

## three
KMnRu2 PBEsol optimized geometry; size of the total moment = 1.073 μB per atom; V = 19.49 Å³/atom
1.0
2.765 0.000 0.000
0.000 3.647 0.000
0.000 0.000 7.729
K Mn Ru
1 1 2
Direct
0.000 0.000 0.489
0.500 0.500 0.840
0.000 0.000 0.015
0.500 0.500 0.156

***

The most stable arrangement is three, and the next structure is 172 meV/atom less stable.